DFT (GGA-PBE) results for crystalline Li2GeSe4 at its relaxed geometry.

extended XYZ file:
```
7
Lattice="-2.916 2.916 5.236 2.916 -2.916 5.236 2.916 2.916 -5.236" Properties=species:S:1:pos:R:3 pbc="T T T"
Li 2.916 0.000 2.618
Li 0.000 2.916 2.618
Ge 0.000 0.000 0.000
Se 1.452 -1.452 4.042
Se 1.464 1.464 1.194
Se -1.452 1.452 4.042
Se 1.452 1.452 6.431
```

Volume ... 178.1 Å³/f.u.
Spin magnetization ... 0.00 μB per cell
Calculated total energy ... -3.60 eV per atom
N(E_F) ... 5.79 states/eV/cell

---

DFT (GGA-PBE) results for crystalline Sr3Eu at its relaxed geometry.

extended XYZ file:
```
4
Lattice="-2.972 2.972 5.923 2.972 -2.972 5.923 2.972 2.972 -5.923" Properties=species:S:1:pos:R:3 pbc="T T T"
Sr 0.000 0.000 0.000
Sr 2.972 0.000 2.962
Sr 0.000 2.972 2.962
Eu 0.000 0.000 5.923
```

Volume ... 209.2 Å³/f.u.
Formation energy ... 2.7 kJ per mole of atoms
Spin magnetization ... 7.49 μB per cell
Calculated total energy ... -3.80 eV per atom
N(E_F) ... 4.07 states/eV/cell
E above lowest polymorph ... 0.2 kJ/mol of atoms

---

DFT (GGA-PBE) results for crystalline Na2AlGe2 at its relaxed geometry.

extended XYZ file:
```
10
Lattice="8.948 0.000 0.000 0.000 8.948 0.000 0.000 0.000 2.807" Properties=species:S:1:pos:R:3 pbc="T T T"
Na 1.063 3.411 0.000
Na 3.411 7.885 0.000
Na 5.537 1.063 0.000
Na 7.885 5.537 0.000
Al 0.000 0.000 0.000
Al 4.474 4.474 0.000
Ge 1.618 6.092 1.404
Ge 2.856 1.618 1.404
Ge 6.092 7.330 1.404
Ge 7.330 2.856 1.404
```

Volume ... 112.4 Å³/f.u.
Formation energy ... 27.5 kJ per mole of atoms
Spin magnetization ... 0.00 μB per cell
Calculated total energy ... -2.84 eV per atom
N(E_F) ... 5.67 states/eV/cell
E above lowest polymorph ... 38.8 kJ/mol of atoms